Record 1
BaGd2Hg | PBE | relaxed

Calculated values
- V (Å³ per cell) = 141.6
- DFT formation energy (meV/atom) = -122
- offset from the most stable computed form (eV per atom) = 0.000
- theoretical density (g/cm3) = 7.6

Unit cell a=3.8323 b=3.8323 c=9.6442 alpha=90.00 beta=90.00 gamma=90.00
Closest atoms and distances in Å follow each position.
Space group P4/mmm (No. 123)
Asymmetric unit:
Ba 0.0000 0.0000 0.0000 (multiplicity 1)  4 Ba 3.83, 8 Gd 4.09
Gd 0.5000 0.5000 0.3183 (multiplicity 2)  4 Hg 3.23, 1 Gd 3.51
Hg 0.0000 0.0000 0.5000 (multiplicity 1)  8 Gd 3.23

***

Record 2
Ba2GdHg | PBE | relaxed

Calculated values
- V (Å³ per cell) = 166.0
- DFT formation energy (meV/atom) = -119
- offset from the most stable computed form (eV per atom) = 0.000
- theoretical density (g/cm3) = 6.3

Unit cell a=4.0934 b=4.0934 c=9.9076 alpha=90.00 beta=90.00 gamma=90.00
Closest atoms and distances in Å follow each position.
Space group P4/mmm (No. 123)
Asymmetric unit:
Ba 0.0000 0.0000 0.2133 (multiplicity 2)  4 Hg 3.58
Gd 0.5000 0.5000 0.5000 (multiplicity 1)  8 Ba 4.06, 4 Gd 4.09
Hg 0.5000 0.5000 0.0000 (multiplicity 1)  8 Ba 3.58

***

Record 3
BaGdHg4 | PBE | relaxed

Calculated values
- V (Å³ per cell) = 673.5
- DFT formation energy (meV/atom) = -255
- theoretical density (g/cm3) = 10.8

Unit cell a=8.7656 b=8.7656 c=8.7656 alpha=90.00 beta=90.00 gamma=90.00
Closest atoms and distances in Å follow each position.
Space group F-43m (No. 216)
Asymmetric unit:
Ba 0.0000 0.0000 0.0000 (multiplicity 4)  12 Hg 3.64, 4 Gd 3.80
Gd 0.2500 0.2500 0.2500 (multiplicity 4)  12 Hg 3.63, 4 Ba 3.80
Hg 0.1245 0.1245 0.6245 (multiplicity 16)  6 Hg 3.09-3.11

***

Record 4
BaGd2Hg | PBE | relaxed

Calculated values
- V (Å³ per cell) = 432.0
- DFT formation energy (meV/atom) = 55
- offset from the most stable computed form (eV per atom) = 0.177
- theoretical density (g/cm3) = 7.5

Unit cell a=3.7333 b=3.7333 c=35.7870 alpha=90.00 beta=90.00 gamma=120.00
Closest atoms and distances in Å follow each position.
Space group R-3m (No. 166, hexagonal axes)
Asymmetric unit:
Ba 0.0000 0.0000 0.0000 (multiplicity 3)  2 Gd 3.64, 6 Ba 3.73
Gd 0.0000 0.0000 0.1018 (multiplicity 6)  3 Hg 3.17
Hg 0.0000 0.0000 0.5000 (multiplicity 3)  6 Gd 3.17

***

Record 5
Ba2GdHg | PBE | relaxed

Calculated values
- V (Å³ per cell) = 517.6
- DFT formation energy (meV/atom) = 138
- offset from the most stable computed form (eV per atom) = 0.258
- theoretical density (g/cm3) = 6.1

Unit cell a=3.9739 b=3.9739 c=37.8498 alpha=90.00 beta=90.00 gamma=120.00
Closest atoms and distances in Å follow each position.
Space group R-3m (No. 166, hexagonal axes)
Asymmetric unit:
Ba 0.0000 0.0000 0.0974 (multiplicity 6)  3 Hg 3.48, 1 Gd 3.69
Gd 0.0000 0.0000 0.0000 (multiplicity 3)  2 Ba 3.69, 6 Gd 3.97
Hg 0.0000 0.0000 0.5000 (multiplicity 3)  6 Ba 3.48

***

Record 6
BaGdHgPb | PBE | relaxed

Calculated values
- V (Å³ per cell) = 530.3
- DFT formation energy (meV/atom) = -428
- theoretical density (g/cm3) = 8.8

Unit cell a=8.0943 b=8.0943 c=8.0943 alpha=90.00 beta=90.00 gamma=90.00
Closest atoms and distances in Å follow each position.
Space group F-43m (No. 216)
Asymmetric unit:
Ba 0.0000 0.0000 0.0000 (multiplicity 4)  4 Hg 3.50, 4 Pb 3.50
Gd 0.0000 0.0000 0.5000 (multiplicity 4)  4 Pb 3.50, 4 Hg 3.50
Hg 0.2500 0.2500 0.7500 (multiplicity 4)  4 Gd 3.50, 4 Ba 3.50
Pb 0.2500 0.2500 0.2500 (multiplicity 4)  4 Gd 3.50, 4 Ba 3.50

***

Record 7
BaGdTlHg | PBE | relaxed

Calculated values
- V (Å³ per cell) = 525.1
- DFT formation energy (meV/atom) = -344
- theoretical density (g/cm3) = 8.8

Unit cell a=8.0676 b=8.0676 c=8.0676 alpha=90.00 beta=90.00 gamma=90.00
Closest atoms and distances in Å follow each position.
Space group F-43m (No. 216)
Asymmetric unit:
Ba 0.0000 0.0000 0.0000 (multiplicity 4)  4 Tl 3.49, 4 Hg 3.49
Gd 0.0000 0.0000 0.5000 (multiplicity 4)  4 Hg 3.49, 4 Tl 3.49
Tl 0.2500 0.2500 0.2500 (multiplicity 4)  4 Gd 3.49, 4 Ba 3.49
Hg 0.2500 0.2500 0.7500 (multiplicity 4)  4 Gd 3.49, 4 Ba 3.49

***

Record 8
BaGdHo2 | PBE | relaxed

Calculated values
- V (Å³ per cell) = 432.0
- DFT formation energy (meV/atom) = 241
- theoretical density (g/cm3) = 7.2

Unit cell a=3.5987 b=3.5987 c=38.5181 alpha=90.00 beta=90.00 gamma=120.00
Closest atoms and distances in Å follow each position.
Space group R-3m (No. 166, hexagonal axes)
Asymmetric unit:
Ba 0.0000 0.0000 0.0000 (multiplicity 3)  2 Ho 3.60, 6 Ba 3.60
Gd 0.0000 0.0000 0.5000 (multiplicity 3)  6 Ho 3.50, 6 Gd 3.60
Ho 0.0000 0.0000 0.0934 (multiplicity 6)  3 Gd 3.50, 1 Ba 3.60, 6 Ho 3.60

***

Record 9
BaGd2Ho | PBE | relaxed

Calculated values
- V (Å³ per cell) = 438.9
- DFT formation energy (meV/atom) = 206
- offset from the most stable computed form (eV per atom) = 0.065
- theoretical density (g/cm3) = 7.0

Unit cell a=3.6284 b=3.6284 c=38.4996 alpha=90.00 beta=90.00 gamma=120.00
Closest atoms and distances in Å follow each position.
Space group R-3m (No. 166, hexagonal axes)
Asymmetric unit:
Ba 0.0000 0.0000 0.0000 (multiplicity 3)  2 Gd 3.61, 6 Ba 3.63
Gd 0.0000 0.0000 0.0938 (multiplicity 6)  3 Ho 3.50, 1 Ba 3.61, 6 Gd 3.63
Ho 0.0000 0.0000 0.5000 (multiplicity 3)  6 Gd 3.50, 6 Ho 3.63

***

Record 10
BaGd2Ho | PBE | relaxed

Calculated values
- V (Å³ per cell) = 148.7
- DFT formation energy (meV/atom) = 141
- offset from the most stable computed form (eV per atom) = 0.000
- theoretical density (g/cm3) = 6.9

Unit cell a=3.7151 b=3.7151 c=10.7745 alpha=90.00 beta=90.00 gamma=90.00
Closest atoms and distances in Å follow each position.
Space group P4/mmm (No. 123)
Asymmetric unit:
Ba 0.0000 0.0000 0.0000 (multiplicity 1)  4 Ba 3.72, 8 Gd 4.04
Gd 0.5000 0.5000 0.2851 (multiplicity 2)  4 Ho 3.50, 4 Gd 3.72
Ho 0.0000 0.0000 0.5000 (multiplicity 1)  8 Gd 3.50, 4 Ho 3.72

***

Record 11
BaGdI2 | PBE | relaxed

Calculated values
- V (Å³ per cell) = 521.7
- theoretical density (g/cm3) = 5.2

Unit cell a=4.2053 b=4.2053 c=34.0643 alpha=90.00 beta=90.00 gamma=120.00
Closest atoms and distances in Å follow each position.
Space group R-3m (No. 166, hexagonal axes)
Asymmetric unit:
Ba 0.0000 0.0000 0.0000 (multiplicity 3)  2 I 3.62
Gd 0.0000 0.0000 0.5000 (multiplicity 3)  6 I 3.18
I 0.0000 0.0000 0.1062 (multiplicity 6)  3 Gd 3.18

***

Record 12
BaGdIn2 | PBE | relaxed

Calculated values
- V (Å³ per cell) = 414.2
- DFT formation energy (meV/atom) = -203
- offset from the most stable computed form (eV per atom) = 0.236
- theoretical density (g/cm3) = 6.3

Unit cell a=3.9138 b=3.9138 c=31.2239 alpha=90.00 beta=90.00 gamma=120.00
Closest atoms and distances in Å follow each position.
Space group R-3m (No. 166, hexagonal axes)
Asymmetric unit:
Ba 0.0000 0.0000 0.0000 (multiplicity 3)  6 In 3.61, 6 Ba 3.91
Gd 0.0000 0.0000 0.5000 (multiplicity 3)  6 In 3.29
In 0.0000 0.0000 0.2431 (multiplicity 6)  3 Gd 3.29, 3 Ba 3.61

***

Record 13
BaGd2In | PBE | relaxed

Calculated values
- V (Å³ per cell) = 432.2
- DFT formation energy (meV/atom) = 62
- offset from the most stable computed form (eV per atom) = 0.185
- theoretical density (g/cm3) = 6.5

Unit cell a=3.7056 b=3.7056 c=36.3422 alpha=90.00 beta=90.00 gamma=120.00
Closest atoms and distances in Å follow each position.
Space group R-3m (No. 166, hexagonal axes)
Asymmetric unit:
Ba 0.0000 0.0000 0.0000 (multiplicity 3)  2 Gd 3.64, 6 Ba 3.71
Gd 0.0000 0.0000 0.1001 (multiplicity 6)  3 In 3.23
In 0.0000 0.0000 0.5000 (multiplicity 3)  6 Gd 3.23

***

Record 14
BaGdIn4 | PBE | relaxed

Calculated values
- V (Å³ per cell) = 689.0
- DFT formation energy (meV/atom) = -345
- theoretical density (g/cm3) = 7.3

Unit cell a=8.8322 b=8.8322 c=8.8322 alpha=90.00 beta=90.00 gamma=90.00
Closest atoms and distances in Å follow each position.
Space group F-43m (No. 216)
Asymmetric unit:
Ba 0.0000 0.0000 0.0000 (multiplicity 4)  12 In 3.66, 4 Gd 3.82
Gd 0.2500 0.2500 0.7500 (multiplicity 4)  12 In 3.66, 4 Ba 3.82
In 0.1246 0.1246 0.3754 (multiplicity 16)  6 In 3.11-3.13

***

Record 15
BaGd2In | PBE | relaxed

Calculated values
- V (Å³ per cell) = 143.3
- DFT formation energy (meV/atom) = -123
- offset from the most stable computed form (eV per atom) = 0.000
- theoretical density (g/cm3) = 6.6

Unit cell a=3.7667 b=3.7667 c=10.0980 alpha=90.00 beta=90.00 gamma=90.00
Closest atoms and distances in Å follow each position.
Space group P4/mmm (No. 123)
Asymmetric unit:
Ba 0.0000 0.0000 0.0000 (multiplicity 1)  4 Ba 3.77, 8 Gd 4.11
Gd 0.5000 0.5000 0.3105 (multiplicity 2)  4 In 3.28
In 0.0000 0.0000 0.5000 (multiplicity 1)  8 Gd 3.28

***

Record 16
BaGdIn2 | PBE | relaxed

Calculated values
- V (Å³ per cell) = 525.1
- DFT formation energy (meV/atom) = -330
- offset from the most stable computed form (eV per atom) = 0.110
- theoretical density (g/cm3) = 6.6

Unit cell a=8.0675 b=8.0675 c=8.0675 alpha=90.00 beta=90.00 gamma=90.00
Closest atoms and distances in Å follow each position.
Space group Fm-3m (No. 225)
Asymmetric unit:
Ba 0.0000 0.0000 0.0000 (multiplicity 4)  8 In 3.49
Gd 0.0000 0.0000 0.5000 (multiplicity 4)  8 In 3.49
In 0.2500 0.2500 0.2500 (multiplicity 8)  4 Gd 3.49, 4 Ba 3.49

***

Record 17
BaGdIn2 | PBE | relaxed

Calculated values
- V (Å³ per cell) = 130.5
- DFT formation energy (meV/atom) = -440
- offset from the most stable computed form (eV per atom) = 0.000
- theoretical density (g/cm3) = 6.7

Unit cell a=3.9977 b=3.9977 c=8.1640 alpha=90.00 beta=90.00 gamma=90.00
Closest atoms and distances in Å follow each position.
Space group P4/mmm (No. 123)
Asymmetric unit:
Ba 0.0000 0.0000 0.0000 (multiplicity 1)  8 In 3.69, 4 Ba 4.00, 2 Gd 4.08
Gd 0.0000 0.0000 0.5000 (multiplicity 1)  8 In 3.30
In 0.5000 0.5000 0.2914 (multiplicity 2)  4 Gd 3.30, 1 In 3.41, 4 Ba 3.69

***

Record 18
BaNaGdIn | PBE | relaxed

Calculated values
- V (Å³ per cell) = 557.3
- DFT formation energy (meV/atom) = -87
- theoretical density (g/cm3) = 5.2

Unit cell a=8.2295 b=8.2295 c=8.2295 alpha=90.00 beta=90.00 gamma=90.00
Closest atoms and distances in Å follow each position.
Space group F-43m (No. 216)
Asymmetric unit:
Ba 0.0000 0.0000 0.0000 (multiplicity 4)  4 Na 3.56, 4 In 3.56
Na 0.2500 0.2500 0.2500 (multiplicity 4)  4 Gd 3.56, 4 Ba 3.56
Gd 0.0000 0.0000 0.5000 (multiplicity 4)  4 In 3.56, 4 Na 3.56
In 0.2500 0.2500 0.7500 (multiplicity 4)  4 Gd 3.56, 4 Ba 3.56

***

The calculation returns the following raw total energy values, one per record and in order: -7.7188; -4.6763; -3.1233; -7.5413; -4.4187; -5.4313; -5.0119; -6.0486; -8.4595; -8.5250; -5.6621; -5.5735; -8.1435; -4.8381; -8.3286; -5.6997; -5.8099; -5.1023 eV per atom.